Compound: Zr3Tc2Pd
Source: the Alexandria database
Functional: PBE-GGA
Structure: optimized geometry

Output
Magnetic moment   0.0 μB per cell
Formation energy   -528 meV per atom
Uncorrected energy   -54.74 eV/cell
Fermi-level density of states   0.3407 states/eV/atom

Cell: 3.3263 3.3263 9.8863 Å, 90.00 90.00 90.00°
Last column: nearest neighbours and their distance in Å.
Space group P4/mmm (No. 123)
Inequivalent atoms, fractional coordinates:
1 Zr 0.0000 0.0000 0.0000 [1 per cell]  8 Tc 2.89, 2 Zr 3.20
2 Zr 0.0000 0.0000 0.3237 [2 per cell]  4 Tc 2.80, 4 Pd 2.93
3 Tc 0.5000 0.5000 0.1703 [2 per cell]  8 Zr 2.80-2.89
4 Pd 0.5000 0.5000 0.5000 [1 per cell]  8 Zr 2.93, 2 Tc 3.26

Compound: KRb2SrI6
Source: the Alexandria database
Functional: PBE-GGA
Structure: optimized geometry

Output
Magnetic moment   0.0 μB per cell
Uncorrected energy   -105.81 eV/cell
Fermi-level density of states   2.0211 states/eV/atom
Uncorrected formation energy   -1.24 eV/atom

Cell: 13.1136 13.1136 13.1136 Å, 90.00 90.00 90.00°
Last column: nearest neighbours and their distance in Å.
Space group Fm-3m (No. 225)
Inequivalent atoms, fractional coordinates:
1 K 0.0000 0.0000 0.0000 [4 per cell]  6 I 3.34
2 Rb 0.2500 0.2500 0.2500 [8 per cell]  12 I 4.64
3 Sr 0.0000 0.0000 0.5000 [4 per cell]  6 I 3.21
4 I 0.0000 0.0000 0.2550 [24 per cell]  1 Sr 3.21, 1 K 3.34

Compound: Na17CdGa11
Source: the Alexandria database
Functional: PBE-GGA
Structure: optimized geometry

Output
Magnetic moment   0.0 μB per cell
Formation energy   -63 meV per atom
Uncorrected energy   -116.95 eV/cell
Fermi-level density of states   0.3970 states/eV/atom

Cell: 11.1819 15.7711 9.6831 Å, 90.00 124.94 90.00°
Last column: nearest neighbours and their distance in Å.
Space group Cm (No. 8)
Inequivalent atoms, fractional coordinates:
1 Na 0.0000 0.0000 0.0000 [2 per cell]  4 Na 3.15-3.38, 6 Ga 3.26-3.27
2 Na 0.0020 0.0000 0.6519 [2 per cell]  11 Ga 3.26-3.35, 1 Cd 3.31, 4 Na 3.38-3.42
3 Na 0.0628 0.3437 0.0565 [4 per cell]  5 Ga 3.16-3.42, 7 Na 3.16-3.40
4 Na 0.1534 0.5000 0.3015 [2 per cell]  4 Na 3.10-3.40, 6 Ga 3.19-3.28
5 Na 0.1587 0.1573 0.2407 [4 per cell]  7 Na 3.16-3.44, 4 Ga 3.28-3.36, 1 Cd 3.29
6 Na 0.1795 0.1769 0.6536 [4 per cell]  4 Na 3.13-3.42, 5 Ga 3.24-3.39, 1 Cd 3.28
7 Na 0.1870 0.5000 0.9273 [2 per cell]  7 Na 3.15-3.40, 5 Ga 3.21-3.34
8 Na 0.2989 0.2971 0.9635 [4 per cell]  7 Na 3.13-3.40, 5 Ga 3.22-3.39
9 Na 0.4117 0.0000 0.3655 [2 per cell]  7 Na 3.10-3.42, 4 Ga 3.22-3.35, 1 Cd 3.29
10 Na 0.4579 0.1420 0.6513 [4 per cell]  7 Na 3.17-3.44, 4 Ga 3.20-3.46, 1 Cd 3.35
11 Na 0.4883 0.2038 0.3395 [4 per cell]  7 Na 3.15-3.38, 5 Ga 3.24-3.39
12 Cd 0.1861 0.0000 0.4801 [2 per cell]  3 Ga 2.91-2.93
13 Ga 0.2360 0.4117 0.6496 [4 per cell]  3 Ga 2.78-2.81
14 Ga 0.2649 0.0898 0.0036 [4 per cell]  3 Ga 2.73-2.83
15 Ga 0.3305 0.3231 0.4770 [4 per cell]  3 Ga 2.76-2.81
16 Ga 0.3643 0.0000 0.8470 [2 per cell]  2 Ga 2.73, 1 Cd 2.91
17 Ga 0.4039 0.4128 0.2884 [4 per cell]  2 Ga 2.75-2.78, 1 Cd 2.93
18 Ga 0.4980 0.3228 0.8240 [4 per cell]  3 Ga 2.76-2.81

Compound: La3NdTm3Se8
Source: the Alexandria database
Functional: PBE-GGA
Structure: optimized geometry

Output
Magnetic moment   0.0 μB per cell
Uncorrected energy   -267.46 eV/cell
Fermi-level density of states   0.5157 states/eV/atom
Uncorrected formation energy   -1.89 eV/atom

Cell: 8.2496 8.2496 20.6878 Å, 90.00 90.00 120.00°
Last column: nearest neighbours and their distance in Å.
Space group R-3m (No. 166, hexagonal axes)
Inequivalent atoms, fractional coordinates:
1 La 0.0000 0.5000 0.0000 [9 per cell]  6 Se 3.04
2 Nd 0.0000 0.0000 0.5000 [3 per cell]  6 Se 3.00
3 Tm 0.0000 0.5000 0.5000 [9 per cell]  6 Se 2.85
4 Se 0.0000 0.0000 0.2423 [6 per cell]  3 Tm 2.85, 3 La 3.04
5 Se 0.0177 0.5089 0.7536 [18 per cell]  2 Tm 2.85, 1 Nd 3.00, 2 La 3.04

Compound: NaLaCl3
Source: the Alexandria database
Functional: PBE-GGA
Structure: optimized geometry

Output
Magnetic moment   0.8 μB per cell
Energy above the lowest structure with this stoichiometry   416 meV per atom
Uncorrected energy   -19.43 eV/cell
Fermi-level density of states   1.3100 states/eV/atom
Uncorrected formation energy   -1.53 eV/atom

Cell: 4.9697 4.9697 4.9697 Å, 90.00 90.00 90.00°
Last column: nearest neighbours and their distance in Å.
Space group Pm-3m (No. 221)
Inequivalent atoms, fractional coordinates:
1 Na 0.0000 0.0000 0.0000 [1 per cell]  6 Cl 2.48
2 La 0.5000 0.5000 0.5000 [1 per cell]  12 Cl 3.51
3 Cl 0.0000 0.0000 0.5000 [3 per cell]  2 Na 2.48

Compound: Li2CrOs
Source: the Alexandria database
Functional: PBE-GGA
Structure: optimized geometry

Output
Magnetic moment   1.7 μB per cell
Formation energy   395 meV per atom
Energy above the lowest structure with this stoichiometry   152 meV per atom
Uncorrected energy   -46.20 eV/cell
Fermi-level density of states   0.8440 states/eV/atom

Cell: 2.6580 4.3714 9.4155 Å, 90.00 90.00 90.00°
Last column: nearest neighbours and their distance in Å.
Space group Cmmm (No. 65)
Inequivalent atoms, fractional coordinates:
1 Li 0.0000 0.0000 0.2454 [4 per cell]  6 Li 2.56-2.66, 2 Os 2.67, 2 Cr 2.74
2 Cr 0.0000 0.5000 0.5000 [2 per cell]  6 Cr 2.56-2.66, 4 Li 2.74
3 Os 0.0000 0.5000 0.0000 [2 per cell]  6 Os 2.56-2.66, 4 Li 2.67

Compound: La2TlCoSn
Source: the Alexandria database
Functional: PBE-GGA
Structure: optimized geometry

Output
Magnetic moment   0.0 μB per cell
Formation energy   -416 meV per atom
Energy above the lowest structure with this stoichiometry   14 meV per atom
Uncorrected energy   -25.41 eV/cell
Fermi-level density of states   0.5970 states/eV/atom

Cell: 5.2560 5.2560 5.0257 Å, 90.00 90.00 90.00°
Last column: nearest neighbours and their distance in Å.
Space group P4/mmm (No. 123)
Inequivalent atoms, fractional coordinates:
1 La 0.0000 0.5000 0.0000 [2 per cell]  2 Co 2.63
2 Tl 0.0000 0.0000 0.5000 [1 per cell]  2 Co 2.51
3 Co 0.0000 0.0000 0.0000 [1 per cell]  2 Tl 2.51, 4 La 2.63
4 Sn 0.5000 0.5000 0.5000 [1 per cell]  8 La 3.64, 4 Tl 3.72

Compound: ScIr2
Source: the Alexandria database
Functional: PBE-GGA
Structure: optimized geometry

Output
Magnetic moment   0.0 μB per cell
Formation energy   -741 meV per atom
Uncorrected energy   -210.22 eV/cell
Fermi-level density of states   0.9522 states/eV/atom

Cell: 7.4072 7.4072 7.4072 Å, 90.00 90.00 90.00°
Last column: nearest neighbours and their distance in Å.
Space group Fd-3m (No. 227, origin choice 2)
Inequivalent atoms, fractional coordinates:
1 Sc 0.1250 0.1250 0.1250 [8 per cell]  12 Ir 3.07, 4 Sc 3.21
2 Ir 0.0000 0.0000 0.5000 [16 per cell]  6 Ir 2.62

Compound: TbGd2Ir
Source: the Alexandria database
Functional: PBE-GGA
Structure: optimized geometry

Output
Magnetic moment   14.6 μB per cell
Formation energy   -353 meV per atom
Energy above the lowest structure with this stoichiometry   0 meV per atom
Uncorrected energy   -43.07 eV/cell
Fermi-level density of states   1.3337 states/eV/atom

Cell: 3.5258 3.5258 8.7619 Å, 90.00 90.00 90.00°
Last column: nearest neighbours and their distance in Å.
Space group P4/mmm (No. 123)
Inequivalent atoms, fractional coordinates:
1 Tb 0.0000 0.0000 0.0000 [1 per cell]  4 Tb 3.53, 8 Gd 3.71
2 Gd 0.5000 0.5000 0.3133 [2 per cell]  4 Ir 2.98, 1 Gd 3.27
3 Ir 0.0000 0.0000 0.5000 [1 per cell]  8 Gd 2.98

Compound: Np2NiB2Rh5
Source: the Alexandria database
Functional: PBE-GGA
Structure: optimized geometry

Output
Magnetic moment   10.5 μB per cell
Formation energy   -336 meV per atom
Uncorrected energy   -170.26 eV/cell
Fermi-level density of states   2.1110 states/eV/atom

Cell: 9.2744 9.2744 3.3199 Å, 90.00 90.00 90.00°
Last column: nearest neighbours and their distance in Å.
Space group P4/mbm (No. 127)
Inequivalent atoms, fractional coordinates:
1 Np 0.1779 0.3221 0.0000 [4 per cell]  3 B 2.62-2.83, 6 Rh 2.86-2.88
2 Ni 0.0000 0.0000 0.0000 [2 per cell]  8 Rh 2.68
3 B 0.1227 0.6227 0.0000 [4 per cell]  6 Rh 2.29-2.31
4 Rh 0.0000 0.5000 0.5000 [2 per cell]  4 B 2.31
5 Rh 0.0714 0.7845 0.5000 [8 per cell]  2 B 2.29

Compound: PuIn15Sn4
Source: the Alexandria database
Functional: PBE-GGA
Structure: optimized geometry

Output
Magnetic moment   5.8 μB per cell
Formation energy   -14 meV per atom
Uncorrected energy   -71.69 eV/cell
Fermi-level density of states   0.9232 states/eV/atom

Cell: 4.9405 4.9405 22.1621 Å, 90.00 90.00 90.00°
Last column: nearest neighbours and their distance in Å.
Space group P4/mmm (No. 123)
Inequivalent atoms, fractional coordinates:
1 Pu 0.0000 0.0000 0.0000 [1 per cell]  12 In 3.30-3.49
2 In 0.0000 0.5000 0.0987 [4 per cell]  2 Sn 3.18, 8 In 3.30-3.49, 2 Pu 3.30
3 In 0.0000 0.5000 0.2998 [4 per cell]  8 In 3.28-3.49, 4 Sn 3.29-3.48
4 In 0.0000 0.5000 0.5000 [2 per cell]  8 In 3.31-3.49, 4 Sn 3.35
5 In 0.5000 0.5000 0.0000 [1 per cell]  8 In 3.30, 4 Pu 3.49
6 In 0.5000 0.5000 0.2025 [2 per cell]  8 In 3.28-3.38, 4 Sn 3.51
7 In 0.5000 0.5000 0.4005 [2 per cell]  8 In 3.31-3.33, 4 Sn 3.49
8 Sn 0.0000 0.0000 0.1889 [2 per cell]  12 In 3.18-3.51
9 Sn 0.0000 0.0000 0.3976 [2 per cell]  12 In 3.29-3.49

Compound: ScHgAu2
Source: the Alexandria database
Functional: PBE-GGA
Structure: optimized geometry

Output
Magnetic moment   0.0 μB per cell
Formation energy   -214 meV per atom
Uncorrected energy   -56.18 eV/cell
Fermi-level density of states   0.7629 states/eV/atom

Cell: 7.7938 7.7938 5.7811 Å, 90.00 90.00 90.00°
Last column: nearest neighbours and their distance in Å.
Space group I-42d (No. 122)
Inequivalent atoms, fractional coordinates:
1 Sc 0.0000 0.0000 0.0000 [4 per cell]  4 Au 2.78, 2 Hg 2.89
2 Hg 0.0000 0.0000 0.5000 [4 per cell]  2 Sc 2.89, 4 Au 2.92
3 Au 0.2373 0.2500 0.1250 [8 per cell]  2 Sc 2.78, 2 Au 2.90, 2 Hg 2.92